No. 1
Compound: Pa2Co6B3
Source: Alexandria via LeMat-Bulk
Functional: GGA-PBE
Structure: relaxed

The space group is P-62m (No. 189) and the conventional cell measures 6.3325, 6.3325 and 3.8404 Å, with angles of 90.00, 90.00 and 120.00 degrees. The inequivalent atoms are Pa at (0.3333, 0.6667, 0.0000), Co at (0.0000, 0.2601, 0.5000), Co at (0.0000, 0.7766, 0.0000) and B at (0.0000, 0.6239, 0.5000).

The value obtained for the energy of formation from the pure elements is -359 kJ/mol of formula units. For the total magnetization, the calculation gives 0.000 μB/atom.

***

No. 2
Compound: MgZr2Br
Source: Alexandria via LeMat-Bulk
Functional: GGA-PBE
Structure: relaxed

The space group is Immm (No. 71) and the conventional cell measures 3.184, 5.489 and 10.576 Å, with angles of 90.00, 90.00 and 90.00 degrees. The inequivalent atoms are Mg at (0.000, 0.000, 0.000), Zr at (0.000, 0.500, 0.227) and Br at (0.000, 0.000, 0.500).

For the total magnetization, the calculation gives 0.000 μB/atom. As for the uncorrected formation energy: -0.042 eV per atom. The relative energy among the computed polymorphs comes out at 0.235 eV per atom.

***

No. 3
Compound: La5Nd2Rh5
Source: Alexandria via LeMat-Bulk
Functional: GGA-PBE
Structure: relaxed

The space group is C2/m (No. 12) and the conventional cell measures 13.642, 4.057 and 12.419 Å, with angles of 90.00, 105.63 and 90.00 degrees. The inequivalent atoms are La at (0.000, 0.000, 0.000), La at (0.155, 0.000, 0.550), La at (0.239, 0.000, 0.857), Nd at (0.040, 0.500, 0.284), Rh at (0.000, 0.500, 0.500), Rh at (0.116, 0.500, 0.927) and Rh at (0.198, 0.000, 0.311).

The value obtained for the energy of formation from the pure elements is -756 kJ/mol of formula units. For the total magnetization, the calculation gives 0.000 μB/atom.

***

No. 4
Compound: Ti3Zn3Au2
Source: Alexandria via LeMat-Bulk
Functional: GGA-PBE
Structure: relaxed

The space group is P-62m (No. 189) and the conventional cell measures 7.2041, 7.2041 and 3.0466 Å, with angles of 90.00, 90.00 and 120.00 degrees. The inequivalent atoms are Ti at (0.0000, 0.3917, 0.0000), Zn at (0.0000, 0.7778, 0.5000) and Au at (0.3333, 0.6667, 0.5000).

The value obtained for the energy of formation from the pure elements is -134 kJ/mol of formula units. For the total magnetization, the calculation gives 0.296 μB/atom. The relative energy among the computed polymorphs comes out at 0.022 eV per atom.